Record 1
TiFeSb2Os: optimized geometry, PBE-GGA.

Properties
**Raw formation energy**: 5.0 eV per formula unit
**Space group**: P4/mmm (123)
**Fermi-level density of states**: 6.9 states/eV/f.u.

```
data_TiFeSb2Os
_cell_length_a 5.063
_cell_length_b 5.063
_cell_length_c 4.759
_cell_angle_alpha 90.00
_cell_angle_beta 90.00
_cell_angle_gamma 90.00
_space_group_name_H-M_alt 'P 1'
_space_group_IT_number 1
loop_
_space_group_symop_operation_xyz
'x,y,z'
loop_
_atom_site_label
_atom_site_type_symbol
_atom_site_fract_x
_atom_site_fract_y
_atom_site_fract_z
_atom_site_occupancy
Ti1 Ti 0.000 0.000 0.000 1
Fe1 Fe 0.500 0.500 0.000 1
Sb1 Sb 0.000 0.500 0.500 1
Sb2 Sb 0.500 0.000 0.500 1
Os1 Os 0.500 0.500 0.500 1
```


Record 2
HfBRh3: optimized geometry, PBE-GGA.

Properties
**Space group**: P6_3/mmc (194)
**Fermi-level density of states**: 2.4 states/eV/f.u.
**DFT formation energy**: -0.179 eV/atom
**Energy above the lowest structure with this stoichiometry**: 0.605 eV/atom

```
data_HfBRh3
_cell_length_a 3.462
_cell_length_b 3.462
_cell_length_c 15.332
_cell_angle_alpha 90.00
_cell_angle_beta 90.00
_cell_angle_gamma 120.00
_space_group_name_H-M_alt 'P 1'
_space_group_IT_number 1
loop_
_space_group_symop_operation_xyz
'x,y,z'
loop_
_atom_site_label
_atom_site_type_symbol
_atom_site_fract_x
_atom_site_fract_y
_atom_site_fract_z
_atom_site_occupancy
Hf1 Hf 0.000 0.000 0.000 1
Hf2 Hf 0.000 0.000 0.500 1
B1 B 0.333 0.667 0.250 1
B2 B 0.667 0.333 0.750 1
Rh1 Rh 0.000 0.000 0.250 1
Rh2 Rh 0.000 0.000 0.750 1
Rh3 Rh 0.333 0.667 0.112 1
Rh4 Rh 0.333 0.667 0.388 1
Rh5 Rh 0.667 0.333 0.612 1
Rh6 Rh 0.667 0.333 0.888 1
```